[1]
# PuSi2Pt2

A PBEsol-optimized structure of PuSi2Pt2 (SCAN, the Alexandria database).

abc: 4.163 4.163 9.785
angles: 90.00 90.00 90.00
Positions (direct):
Pu 0.250 0.250 0.244
Pu 0.750 0.750 0.756
Si 0.250 0.250 0.634
Si 0.250 0.750 0.000
Si 0.750 0.250 0.000
Si 0.750 0.750 0.366
Pt 0.250 0.250 0.877
Pt 0.250 0.750 0.500
Pt 0.750 0.250 0.500
Pt 0.750 0.750 0.123

Summary:
- E_form (uncorrected): -0.95 eV/atom
- Crystal system: tetragonal
- V: 169.60 Å³ per cell
- Raw total energy: -55.06 eV/atom
- SG: P4/nmm

[2]
# NaScH3

A PBEsol-optimized structure of NaScH3 (SCAN, the Alexandria database).

abc: 3.899 3.899 3.899
angles: 90.00 90.00 90.00
Positions (direct):
Na 0.000 0.000 0.000
Sc 0.500 0.500 0.500
H 0.000 0.500 0.500
H 0.500 0.000 0.500
H 0.500 0.500 0.000

Summary:
- Crystal system: cubic
- V: 59.29 Å³ per cell
- Raw total energy: -6.12 eV/atom
- SG: Pm-3m

[3]
# NaV2P2O9

A PBEsol-optimized structure of NaV2P2O9 (SCAN, the Alexandria database).

abc: 13.902 6.313 7.553
angles: 90.00 90.00 90.00
Positions (direct):
Na 0.221 0.250 0.147
Na 0.279 0.750 0.647
Na 0.721 0.250 0.353
Na 0.779 0.750 0.853
V 0.000 0.000 0.000
V 0.000 0.500 0.000
V 0.119 0.250 0.658
V 0.381 0.750 0.158
V 0.500 0.000 0.500
V 0.500 0.500 0.500
V 0.619 0.250 0.842
V 0.881 0.750 0.342
P 0.061 0.750 0.648
P 0.194 0.750 0.099
P 0.306 0.250 0.599
P 0.439 0.250 0.148
P 0.561 0.750 0.852
P 0.694 0.750 0.401
P 0.806 0.250 0.901
P 0.939 0.250 0.352
O 0.010 0.750 0.835
O 0.016 0.250 0.494
O 0.049 0.250 0.858
O 0.127 0.556 0.641
O 0.127 0.944 0.641
O 0.130 0.550 0.085
O 0.130 0.950 0.085
O 0.225 0.250 0.460
O 0.247 0.250 0.775
O 0.253 0.750 0.275
O 0.275 0.750 0.960
O 0.370 0.050 0.585
O 0.370 0.450 0.585
O 0.373 0.056 0.141
O 0.373 0.444 0.141
O 0.451 0.750 0.358
O 0.484 0.750 0.994
O 0.490 0.250 0.335
O 0.510 0.750 0.665
O 0.516 0.250 0.006
O 0.549 0.250 0.642
O 0.627 0.556 0.859
O 0.627 0.944 0.859
O 0.630 0.550 0.415
O 0.630 0.950 0.415
O 0.725 0.250 0.040
O 0.747 0.250 0.725
O 0.753 0.750 0.225
O 0.775 0.750 0.540
O 0.870 0.050 0.915
O 0.870 0.450 0.915
O 0.873 0.056 0.359
O 0.873 0.444 0.359
O 0.951 0.750 0.142
O 0.984 0.750 0.506
O 0.990 0.250 0.165

Summary:
- E_form (uncorrected): -2.60 eV/atom
- Crystal system: orthorhombic
- V: 662.91 Å³ per cell
- Raw total energy: -10.89 eV/atom
- SG: Pnma

[4]
# TeIrIO2

A PBEsol-optimized structure of TeIrIO2 (SCAN, the Alexandria database).

abc: 3.906 3.906 7.354
angles: 90.00 90.00 90.00
Positions (direct):
Te 0.000 0.000 0.000
Ir 0.500 0.500 0.500
I 0.500 0.500 0.000
O 0.000 0.500 0.500
O 0.500 0.000 0.500

Summary:
- E_form (uncorrected): 0.23 eV/atom
- Polymorph energy (0 for the lowest one): 0 kJ/mol of formula units
- Crystal system: tetragonal
- V: 112.23 Å³ per cell
- Raw total energy: -31.28 eV/atom
- SG: P4/mmm

[5]
# KZr2Os

A PBEsol-optimized structure of KZr2Os (SCAN, the Alexandria database).

abc: 4.823 4.823 4.823
angles: 60.00 60.00 60.00
Positions (direct):
K 0.000 0.000 0.000
Zr 0.250 0.250 0.250
Zr 0.750 0.750 0.750
Os 0.500 0.500 0.500

Summary:
- Energy relative to the elements: 51.5 kJ per mole of atoms
- Polymorph energy (0 for the lowest one): 94 kJ/mol of formula units
- Crystal system: cubic
- V: 79.32 Å³ per cell
- Raw total energy: -34.87 eV/atom
- SG: Fm-3m

[6]
# KSr4Co

A PBEsol-optimized structure of KSr4Co (SCAN, the Alexandria database).

abc: 7.507 7.507 7.507
angles: 60.00 60.00 60.00
Positions (direct):
K 0.000 0.000 0.000
Sr 0.376 0.376 0.376
Sr 0.376 0.376 0.873
Sr 0.376 0.873 0.376
Sr 0.873 0.376 0.376
Co 0.750 0.750 0.750

Summary:
- Energy relative to the elements: 81.8 kJ per mole of atoms
- Crystal system: cubic
- V: 299.13 Å³ per cell
- Raw total energy: -18.27 eV/atom
- SG: F-43m

[7]
# Ag5PS4Cl2

A PBEsol-optimized structure of Ag5PS4Cl2 (SCAN, the Alexandria database).

abc: 7.294 6.309 6.309
angles: 122.68 90.00 90.00
Positions (direct):
Ag 0.000 0.000 0.000
Ag 0.283 0.348 0.735
Ag 0.283 0.735 0.348
Ag 0.717 0.348 0.735
Ag 0.717 0.735 0.348
P 0.500 0.944 0.944
S 0.267 0.748 0.748
S 0.500 0.006 0.303
S 0.500 0.303 0.006
S 0.733 0.748 0.748
Cl 0.000 0.123 0.463
Cl 0.000 0.463 0.123

Summary:
- E_form (uncorrected): -0.36 eV/atom
- Crystal system: orthorhombic
- V: 244.35 Å³ per cell
- Raw total energy: -18.84 eV/atom
- SG: Amm2

[8]
# Ba5GaRu2O11

A PBEsol-optimized structure of Ba5GaRu2O11 (SCAN, the Alexandria database).

abc: 18.701 5.801 11.089
angles: 90.00 90.00 90.00
Positions (direct):
Ba 0.026 0.250 0.106
Ba 0.070 0.250 0.471
Ba 0.137 0.750 0.689
Ba 0.170 0.750 0.045
Ba 0.249 0.250 0.867
Ba 0.251 0.750 0.367
Ba 0.330 0.250 0.545
Ba 0.363 0.250 0.189
Ba 0.430 0.750 0.971
Ba 0.474 0.750 0.606
Ba 0.526 0.250 0.394
Ba 0.570 0.250 0.029
Ba 0.637 0.750 0.811
Ba 0.670 0.750 0.455
Ba 0.749 0.250 0.633
Ba 0.751 0.750 0.133
Ba 0.830 0.250 0.955
Ba 0.863 0.250 0.311
Ba 0.930 0.750 0.529
Ba 0.974 0.750 0.894
Ga 0.189 0.250 0.236
Ga 0.311 0.750 0.736
Ga 0.689 0.250 0.264
Ga 0.811 0.750 0.764
Ru 0.060 0.750 0.294
Ru 0.064 0.250 0.788
Ru 0.436 0.750 0.288
Ru 0.440 0.250 0.794
Ru 0.560 0.750 0.206
Ru 0.564 0.250 0.712
Ru 0.936 0.750 0.212
Ru 0.940 0.250 0.706
O 0.016 0.015 0.674
O 0.016 0.485 0.674
O 0.029 0.750 0.118
O 0.094 0.750 0.454
O 0.100 0.015 0.891
O 0.100 0.485 0.891
O 0.132 0.509 0.247
O 0.132 0.991 0.247
O 0.149 0.250 0.689
O 0.231 0.250 0.088
O 0.250 0.250 0.362
O 0.250 0.750 0.862
O 0.269 0.750 0.588
O 0.351 0.750 0.189
O 0.368 0.009 0.747
O 0.368 0.491 0.747
O 0.400 0.515 0.391
O 0.400 0.985 0.391
O 0.406 0.250 0.954
O 0.471 0.250 0.618
O 0.484 0.515 0.174
O 0.484 0.985 0.174
O 0.516 0.015 0.826
O 0.516 0.485 0.826
O 0.529 0.750 0.382
O 0.594 0.750 0.046
O 0.600 0.015 0.609
O 0.600 0.485 0.609
O 0.632 0.509 0.253
O 0.632 0.991 0.253
O 0.649 0.250 0.811
O 0.731 0.250 0.412
O 0.750 0.250 0.138
O 0.750 0.750 0.638
O 0.769 0.750 0.912
O 0.851 0.750 0.311
O 0.868 0.009 0.753
O 0.868 0.491 0.753
O 0.900 0.515 0.109
O 0.900 0.985 0.109
O 0.906 0.250 0.546
O 0.971 0.250 0.882
O 0.984 0.515 0.326
O 0.984 0.985 0.326

Summary:
- E_form (uncorrected): -2.34 eV/atom
- Crystal system: orthorhombic
- V: 1202.95 Å³ per cell
- Raw total energy: -20.88 eV/atom
- SG: Pnma

[9]
# Mo2PRu

A PBEsol-optimized structure of Mo2PRu (SCAN, the Alexandria database).

abc: 8.448 8.448 8.448
angles: 19.05 19.05 19.05
Positions (direct):
Mo 0.000 0.000 0.000
Mo 0.240 0.240 0.240
P 0.745 0.745 0.745
Ru 0.485 0.485 0.485

Summary:
- Energy relative to the elements: 11.3 kJ per mole of atoms
- Crystal system: trigonal
- V: 56.13 Å³ per cell
- Raw total energy: -28.63 eV/atom
- SG: R3m

[10]
# Nb3HgH

A PBEsol-optimized structure of Nb3HgH (SCAN, the Alexandria database).

abc: 4.187 4.187 4.187
angles: 90.00 90.00 90.00
Positions (direct):
Nb 0.000 0.000 0.500
Nb 0.000 0.500 0.000
Nb 0.500 0.000 0.000
Hg 0.500 0.500 0.500
H 0.000 0.000 0.000

Summary:
- Crystal system: cubic
- V: 73.39 Å³ per cell
- Raw total energy: -34.31 eV/atom
- SG: Pm-3m

[11]
# BaAlGa

A PBEsol-optimized structure of BaAlGa (SCAN, the Alexandria database).

abc: 4.466 4.466 8.100
angles: 90.00 90.00 90.00
Positions (direct):
Ba 0.250 0.250 0.176
Ba 0.750 0.750 0.824
Al 0.250 0.750 0.500
Al 0.750 0.250 0.500
Ga 0.250 0.250 0.691
Ga 0.750 0.750 0.309

Summary:
- Energy relative to the elements: -41.9 kJ per mole of atoms
- Crystal system: tetragonal
- V: 161.55 Å³ per cell
- Raw total energy: -21.65 eV/atom
- SG: P4/nmm